Entry 1:
Material: NaInTe2N
Method: DFT, GGA-PBE
State: optimized geometry Values from VASP.

The structure in Quantum ESPRESSO input format:
```
&SYSTEM
  ibrav = 0, nat = 5, ntyp = 4
/
ATOMIC_SPECIES
Na 22.99 Na.upf
In 114.82 In.upf
Te 127.60 Te.upf
N 14.01 N.upf
CELL_PARAMETERS angstrom
5.737 0.000 0.000
0.000 5.737 0.000
0.000 0.000 4.460
ATOMIC_POSITIONS angstrom
Na 0.000 0.000 0.000
In 2.869 2.869 2.230
Te 0.000 2.869 0.000
Te 2.869 0.000 0.000
N 0.000 0.000 2.230
```

Calculated values
raw formation energy: 0.9717 eV/atom
space-group type: P4/mmm (123)

=====

Entry 2:
Material: La2TcHgO8
Method: DFT, GGA-PBE
State: optimized geometry Values from VASP.

The structure in Quantum ESPRESSO input format:
```
&SYSTEM
  ibrav = 0, nat = 12, ntyp = 4
/
ATOMIC_SPECIES
La 138.91 La.upf
Tc 98.00 Tc.upf
Hg 200.59 Hg.upf
O 16.00 O.upf
CELL_PARAMETERS angstrom
4.840 0.000 0.000
-0.381 4.844 0.000
-0.509 -0.562 7.849
ATOMIC_POSITIONS angstrom
La 0.117 0.115 1.995
La 3.832 4.167 5.854
Tc 1.975 2.141 3.924
Hg 2.230 2.422 0.000
O 0.370 0.390 7.724
O 0.718 0.789 4.335
O 0.782 2.762 2.577
O 1.261 3.292 5.263
O 2.688 0.990 2.585
O 3.168 1.520 5.272
O 3.231 3.493 3.514
O 3.579 3.893 0.125
```

Calculated values
raw formation energy: -1.9025 eV/atom
space-group type: P-1 (2)

=====

Entry 3:
Material: Sm5Er2Tl
Method: DFT, GGA-PBE
State: optimized geometry Values from VASP.

The structure in Quantum ESPRESSO input format:
```
&SYSTEM
  ibrav = 0, nat = 16, ntyp = 3
/
ATOMIC_SPECIES
Sm 150.36 Sm.upf
Er 167.26 Er.upf
Tl 204.38 Tl.upf
CELL_PARAMETERS angstrom
13.424 0.000 0.000
0.000 11.269 0.000
-0.890 0.000 3.349
ATOMIC_POSITIONS angstrom
Sm 0.000 0.000 0.000
Sm 1.207 2.622 2.115
Sm 1.207 8.647 2.115
Sm 4.615 3.013 1.235
Sm 4.615 8.256 1.235
Sm 6.712 5.635 0.000
Sm 7.919 3.013 2.115
Sm 7.919 8.256 2.115
Sm 11.327 2.622 1.235
Sm 11.327 8.647 1.235
Er 2.445 5.635 2.450
Er 3.377 0.000 0.900
Er 9.157 0.000 2.450
Er 10.089 5.635 0.900
Tl 0.000 5.635 0.000
Tl 6.712 0.000 0.000
```

Calculated values
space-group type: C2/m (12)
energy relative to the elements: 0.00 eV/atom

=====

Entry 4:
Material: RbPdBr2F
Method: DFT, GGA-PBE
State: optimized geometry Values from VASP.

The structure in Quantum ESPRESSO input format:
```
&SYSTEM
  ibrav = 0, nat = 5, ntyp = 4
/
ATOMIC_SPECIES
Rb 85.47 Rb.upf
Pd 106.42 Pd.upf
Br 79.90 Br.upf
F 19.00 F.upf
CELL_PARAMETERS angstrom
5.333 0.000 0.000
0.000 5.333 0.000
0.000 0.000 4.363
ATOMIC_POSITIONS angstrom
Rb 0.000 0.000 0.000
Pd 2.666 2.666 2.182
Br 0.000 2.666 2.182
Br 2.666 0.000 2.182
F 2.666 2.666 0.000
```

Calculated values
raw formation energy: -1.1494 eV/atom
space-group type: P4/mmm (123)

=====

Entry 5:
Material: Th2MoAu
Method: DFT, GGA-PBE
State: optimized geometry Values from VASP.

The structure in Quantum ESPRESSO input format:
```
&SYSTEM
  ibrav = 0, nat = 4, ntyp = 3
/
ATOMIC_SPECIES
Th 232.04 Th.upf
Mo 95.94 Mo.upf
Au 196.97 Au.upf
CELL_PARAMETERS angstrom
3.626 0.000 0.000
0.000 3.626 0.000
0.000 0.000 7.574
ATOMIC_POSITIONS angstrom
Th 0.000 0.000 1.748
Th 0.000 0.000 5.826
Mo 1.813 1.813 0.000
Au 1.813 1.813 3.787
```

Calculated values
space-group type: P4/mmm (123)
energy relative to the elements: -0.17 eV/atom

=====

Entry 6:
Material: PrMg3Cu
Method: DFT, GGA-PBE
State: optimized geometry Values from VASP.

The structure in Quantum ESPRESSO input format:
```
&SYSTEM
  ibrav = 0, nat = 5, ntyp = 3
/
ATOMIC_SPECIES
Pr 140.91 Pr.upf
Mg 24.30 Mg.upf
Cu 63.55 Cu.upf
CELL_PARAMETERS angstrom
4.936 0.000 0.000
0.000 4.936 0.000
0.000 0.000 4.936
ATOMIC_POSITIONS angstrom
Pr 0.000 0.000 0.000
Mg 0.000 2.468 2.468
Mg 2.468 0.000 2.468
Mg 2.468 2.468 0.000
Cu 2.468 2.468 2.468
```

Calculated values
space-group type: Pm-3m (221)
energy relative to the elements: -0.03 eV/atom

=====

Entry 7:
Material: LiCaAgF4
Method: DFT, GGA-PBE
State: optimized geometry Values from VASP.

The structure in Quantum ESPRESSO input format:
```
&SYSTEM
  ibrav = 0, nat = 14, ntyp = 4
/
ATOMIC_SPECIES
Li 6.94 Li.upf
Ca 40.08 Ca.upf
Ag 107.87 Ag.upf
F 19.00 F.upf
CELL_PARAMETERS angstrom
-3.043 3.550 4.741
3.043 -3.550 4.741
3.043 3.550 -4.741
ATOMIC_POSITIONS angstrom
Li -1.521 1.775 2.371
Li 1.521 1.775 2.371
Ca 0.000 0.000 0.000
Ca 0.000 3.550 0.000
Ag 3.043 1.775 -1.669
Ag 0.000 1.775 6.411
F 1.412 1.775 0.107
F 1.631 -1.775 4.848
F 0.000 0.370 2.238
F 3.043 0.370 2.503
F 0.000 3.179 2.238
F 3.043 3.179 2.503
F 1.412 5.324 -0.107
F 1.631 1.775 4.635
```

Calculated values
raw formation energy: -2.7350 eV/atom
space-group type: Imma (74)

=====

Entry 8:
Material: La2DyScTe4
Method: DFT, GGA-PBE
State: optimized geometry Values from VASP.

The structure in Quantum ESPRESSO input format:
```
&SYSTEM
  ibrav = 0, nat = 8, ntyp = 4
/
ATOMIC_SPECIES
La 138.91 La.upf
Dy 162.50 Dy.upf
Sc 44.96 Sc.upf
Te 127.60 Te.upf
CELL_PARAMETERS angstrom
7.604 0.000 0.000
0.000 4.361 0.000
-2.507 0.000 7.375
ATOMIC_POSITIONS angstrom
La 0.000 0.000 0.000
La 3.802 2.180 0.000
Dy -1.253 2.180 3.687
Sc 2.549 0.000 3.687
Te 0.071 0.000 5.372
Te 1.328 2.180 2.038
Te 3.770 2.180 5.337
Te 5.026 0.000 2.003
```

Calculated values
raw formation energy: -1.3861 eV/atom
space-group type: P2/m (10)

=====

Table of energy (eV/atom), in record order: -2.762 -6.918 -4.389 -3.425 -7.404 -2.763 -4.771 -5.556